--- A ---
AcScIr: optimized geometry, PBE-GGA.

Summary:
**Magnetization**: 0.00 μB/f.u.

```
data_AcScIr
_chemical_formula_sum 'Ac2 Sc2 Ir2'
_cell_length_a 4.285
_cell_length_b 4.285
_cell_length_c 8.829
_cell_angle_alpha 90.07
_cell_angle_beta 90.07
_cell_angle_gamma 89.99
_symmetry_space_group_name_H-M 'P 1'
_symmetry_Int_Tables_number 1
loop_
_symmetry_equiv_pos_as_xyz
'x,y,z'
loop_
_atom_site_label
_atom_site_type_symbol
_atom_site_fract_x
_atom_site_fract_y
_atom_site_fract_z
Ac1 Ac 0.250 0.250 0.166
Ac2 Ac 0.750 0.750 0.834
Sc1 Sc 0.250 0.750 0.500
Sc2 Sc 0.750 0.250 0.500
Ir1 Ir 0.250 0.250 0.693
Ir2 Ir 0.750 0.750 0.307
```

--- B ---
AcScIr: optimized geometry, PBE-GGA.

Summary:
**Magnetization**: 0.00 μB/f.u.

```
data_AcScIr
_chemical_formula_sum 'Ac1 Sc1 Ir1'
_cell_length_a 4.899
_cell_length_b 4.899
_cell_length_c 4.899
_cell_angle_alpha 60.00
_cell_angle_beta 60.00
_cell_angle_gamma 60.00
_symmetry_space_group_name_H-M 'P 1'
_symmetry_Int_Tables_number 1
loop_
_symmetry_equiv_pos_as_xyz
'x,y,z'
loop_
_atom_site_label
_atom_site_type_symbol
_atom_site_fract_x
_atom_site_fract_y
_atom_site_fract_z
Ac1 Ac 0.000 0.000 0.000
Sc1 Sc 0.500 0.500 0.500
Ir1 Ir 0.750 0.750 0.750
```

Least stable = B

--- A ---
Ac2IrSe: optimized geometry, PBE-GGA.

Summary:
**Magnetization**: 0.00 μB/f.u.

```
data_Ac2IrSe
_chemical_formula_sum 'Ac2 Ir1 Se1'
_cell_length_a 8.007
_cell_length_b 8.007
_cell_length_c 8.007
_cell_angle_alpha 31.51
_cell_angle_beta 31.51
_cell_angle_gamma 31.51
_symmetry_space_group_name_H-M 'P 1'
_symmetry_Int_Tables_number 1
loop_
_symmetry_equiv_pos_as_xyz
'x,y,z'
loop_
_atom_site_label
_atom_site_type_symbol
_atom_site_fract_x
_atom_site_fract_y
_atom_site_fract_z
Ac1 Ac 0.241 0.241 0.241
Ac2 Ac 0.759 0.759 0.759
Ir1 Ir 0.500 0.500 0.500
Se1 Se 0.000 0.000 0.000
```

--- B ---
Ac2IrSe: optimized geometry, PBE-GGA.

Summary:
**Magnetization**: 0.00 μB/f.u.

```
data_Ac2IrSe
_chemical_formula_sum 'Ac4 Ir2 Se2'
_cell_length_a 7.738
_cell_length_b 7.738
_cell_length_c 6.251
_cell_angle_alpha 113.82
_cell_angle_beta 113.82
_cell_angle_gamma 47.72
_symmetry_space_group_name_H-M 'P 1'
_symmetry_Int_Tables_number 1
loop_
_symmetry_equiv_pos_as_xyz
'x,y,z'
loop_
_atom_site_label
_atom_site_type_symbol
_atom_site_fract_x
_atom_site_fract_y
_atom_site_fract_z
Ac1 Ac 0.109 0.109 0.359
Ac2 Ac 0.360 0.360 0.109
Ac3 Ac 0.640 0.640 0.891
Ac4 Ac 0.891 0.891 0.641
Ir1 Ir 0.125 0.125 0.874
Ir2 Ir 0.875 0.875 0.126
Se1 Se 0.375 0.375 0.624
Se2 Se 0.625 0.625 0.376
```

Least stable = B